This record from Alexandria via LeMat-Bulk describes DyZn3Cu after structural relaxation. The functional is PBE. Values from VASP.

Computed properties:
Magnetic moment   0.00 μB per atom
Symmetry   Cmcm, No. 63
DOS(E_F)   0.5126 states/eV/atom
Energy of formation from the pure elements   -26 kJ/mol of atoms
Total DFT energy (no corrections)   -0.102 hartree per atom

The structure in Quantum ESPRESSO input format:
```
&SYSTEM
  ibrav = 0, nat = 10, ntyp = 3
/
ATOMIC_SPECIES
Dy 162.50 Dy.upf
Zn 65.41 Zn.upf
Cu 63.55 Cu.upf
CELL_PARAMETERS angstrom
2.828 -5.511 0.000
2.828 5.511 0.000
0.000 0.000 5.677
ATOMIC_POSITIONS crystal
Dy 0.248 0.752 0.750
Dy 0.752 0.248 0.250
Zn 0.139 0.861 0.250
Zn 0.260 0.260 0.000
Zn 0.260 0.260 0.500
Zn 0.740 0.740 0.000
Zn 0.740 0.740 0.500
Zn 0.861 0.139 0.750
Cu 0.357 0.643 0.250
Cu 0.643 0.357 0.750
```

This record from Alexandria via LeMat-Bulk describes PaMnAlS6 after structural relaxation. The functional is PBE. Values from VASP.

Computed properties:
Magnetic moment   0.33 μB per atom
Symmetry   P312, No. 149
Formation energy from raw total energies   -798 kJ/mol of formula units
Total DFT energy (no corrections)   -0.226 hartree per atom

The structure in Quantum ESPRESSO input format:
```
&SYSTEM
  ibrav = 0, nat = 9, ntyp = 4
/
ATOMIC_SPECIES
Pa 231.04 Pa.upf
Mn 54.94 Mn.upf
Al 26.98 Al.upf
S 32.06 S.upf
CELL_PARAMETERS angstrom
6.070 0.000 0.000
-3.035 5.257 0.000
0.000 0.000 5.831
ATOMIC_POSITIONS crystal
Pa 0.000 0.000 0.000
Mn 0.333 0.667 0.500
Al 0.667 0.333 0.500
S 0.007 0.358 0.729
S 0.007 0.649 0.271
S 0.351 0.358 0.271
S 0.351 0.993 0.729
S 0.642 0.649 0.729
S 0.642 0.993 0.271
```